PBE LaReC2, optimized geometry; E above lowest polymorph = 0.032 eV/atom; volume = 136 Å³ per cell; E_form = 0.166 eV per atom; E = -35.2 eV/f.u.; DOS at the Fermi energy = 3.4 states/eV/cell
1.0
-3.308 -0.313 -4.251
4.751 -3.695 -1.340
-2.742 -1.252 4.608
C La Re
4 2 2
Cartesian
-0.343 -3.231 -3.343 C
0.449 -4.462 -0.445 C
-1.749 -0.798 -0.538 C
-0.956 -2.029 2.360 C
0.740 -1.644 0.066 La
-2.040 -3.615 -1.049 La
-2.324 -0.907 1.354 Re
1.024 -4.353 -2.337 Re